(1)
A plane-wave DFT calculation with GGA-PBE was carried out for a relaxed structure of Al2CrAg.

Structure (POSCAR):
```
Al2CrAg
1.0
-0.9898 -1.8276 2.0969
1.6794 -2.1670 -1.0960
5.2536 1.9553 4.1840
Cr Al Ag
1 2 1
direct
0.5000 0.5000 0.2500 Cr
0.0000 0.0000 0.0278 Al
0.0000 0.0000 0.4722 Al
0.5000 0.5000 0.7500 Ag
```

The calculation puts the formation energy at -0.06 eV/atom.


(2)
A plane-wave DFT calculation with GGA-PBE was carried out for a relaxed structure of Nd4GePd3.

Structure (POSCAR):
```
Nd4GePd3
1.0
4.0282 0.0000 0.0000
0.0000 4.4934 0.0000
0.0000 0.0000 11.0353
Nd Ge Pd
4 1 3
direct
0.5000 0.5000 0.3636 Nd
0.0000 0.5000 0.8598 Nd
0.0000 0.0000 0.1384 Nd
0.5000 0.0000 0.6361 Nd
0.5000 0.5000 0.0812 Ge
0.0000 0.5000 0.5846 Pd
0.0000 0.0000 0.4175 Pd
0.5000 0.0000 0.9188 Pd
```

The calculation puts the formation energy at -0.80 eV/atom.


(3)
A plane-wave DFT calculation with GGA-PBE was carried out for a relaxed structure of Ti2BeMoH.

Structure (POSCAR):
```
Ti2BeMoH
1.0
4.2273 0.0000 0.0000
0.0000 4.2273 0.0000
0.0000 0.0000 3.3075
Be Mo H Ti
1 1 1 2
direct
0.0000 0.0000 0.5000 Be
0.5000 0.5000 0.5000 Mo
0.0000 0.0000 0.0000 H
0.0000 0.5000 0.0000 Ti
0.5000 0.0000 0.0000 Ti
```


(4)
A plane-wave DFT calculation with GGA-PBE was carried out for a relaxed structure of NaLi6I8.

Structure (POSCAR):
```
NaLi6I8
1.0
7.3968 0.0000 4.2706
2.4656 6.9738 4.2706
0.0000 0.0000 8.5411
Na Li I
1 6 8
direct
0.0000 0.0000 0.0000 Na
0.0000 0.5000 0.5000 Li
0.5000 0.0000 0.0000 Li
0.5000 0.5000 0.0000 Li
0.0000 0.0000 0.5000 Li
0.0000 0.5000 0.0000 Li
0.5000 0.0000 0.5000 Li
0.7500 0.7500 0.7500 I
0.2500 0.2500 0.2500 I
0.7433 0.2567 0.2567 I
0.2567 0.7433 0.7433 I
0.2567 0.2567 0.7433 I
0.7433 0.7433 0.2567 I
0.7433 0.2567 0.7433 I
0.2567 0.7433 0.2567 I
```

The formation energy without anion corrections is -1047 meV per atom.


VASP energy values (in eV for the cell shown) by entry order: -20.199 -45.653 -34.585 -40.904.